# AcY5Hg4 | Alexandria | GGA-PBE | relaxed
# **DOS at the Fermi energy**: 11.38 states/eV per cell
# **Crystal system**: tetragonal
# **Total moment**: 0.00 μB per cell
# **DFT formation energy**: -3.97 eV per formula unit
# **Mass density**: 8.7 g cm⁻³
# **DFT total energy**: -41.61 eV/cell
data_AcY5Hg4
_space_group_name_H-M_alt 'P 4/m m m'
_space_group_IT_number 123
_space_group_name_Hall '-P 4 2'
_cell_length_a 3.743
_cell_length_b 3.743
_cell_length_c 20.171
_cell_angle_alpha 90.00
_cell_angle_beta 90.00
_cell_angle_gamma 90.00
loop_
_atom_site_label
_atom_site_type_symbol
_atom_site_fract_x
_atom_site_fract_y
_atom_site_fract_z
_atom_site_occupancy
Ac1 Ac 0.000 0.000 0.000 1
Y1 Y 0.500 0.500 0.134 1
Y2 Y 0.500 0.500 0.317 1
Y3 Y 0.500 0.500 0.500 1
Hg1 Hg 0.000 0.000 0.223 1
Hg2 Hg 0.000 0.000 0.407 1

# SrZn2Au9 | Alexandria | GGA-PBE | relaxed
# **DOS at the Fermi energy**: 15.70 states/eV per cell
# **Crystal system**: tetragonal
# **Total moment**: 0.00 μB per cell
# **DFT formation energy**: -3.51 eV per formula unit
# **Mass density**: 14.1 g cm⁻³
# **DFT total energy**: -148.95 eV/cell
data_SrZn2Au9
_space_group_name_H-M_alt 'I 41/a m d'
_space_group_IT_number 141
_cell_length_a 11.353
_cell_length_b 11.353
_cell_length_c 7.279
_cell_angle_alpha 90.00
_cell_angle_beta 90.00
_cell_angle_gamma 90.00
loop_
_space_group_symop_operation_xyz
'x,y,z'
'-x,-y,-z'
'-y+1/4,x+3/4,z+1/4'
'y+1/4,-x+3/4,-z+1/4'
'-x+1/2,-y,z+1/2'
'x+1/2,y,-z+1/2'
'y+1/4,-x+1/4,z+3/4'
'-y+1/4,x+1/4,-z+3/4'
'x,-y,-z'
'-x,y,z'
'-y+1/4,-x+1/4,-z+3/4'
'y+1/4,x+1/4,z+3/4'
'-x+1/2,y,-z+1/2'
'x+1/2,-y,z+1/2'
'y+1/4,x+3/4,-z+1/4'
'-y+1/4,-x+3/4,z+1/4'
'x+1/2,y+1/2,z+1/2'
'-x+1/2,-y+1/2,-z+1/2'
'-y+3/4,x+1/4,z+3/4'
'y+3/4,-x+1/4,-z+3/4'
'-x,-y+1/2,z'
'x,y+1/2,-z'
'y+3/4,-x+3/4,z+1/4'
'-y+3/4,x+3/4,-z+1/4'
'x+1/2,-y+1/2,-z+1/2'
'-x+1/2,y+1/2,z+1/2'
'-y+3/4,-x+3/4,-z+1/4'
'y+3/4,x+3/4,z+1/4'
'-x,y+1/2,-z'
'x,-y+1/2,z'
'y+3/4,x+1/4,-z+3/4'
'-y+3/4,-x+1/4,z+3/4'
loop_
_atom_site_label
_atom_site_type_symbol
_atom_site_fract_x
_atom_site_fract_y
_atom_site_fract_z
_atom_site_occupancy
Sr1 Sr 0.000 0.250 0.375 1
Zn1 Zn 0.000 0.000 0.000 1
Au1 Au 0.000 0.250 0.875 1
Au2 Au 0.121 0.048 0.682 1

Which of these has the highest mass density?
SrZn2Au9

What is the formula in the second record?
SrZn2Au9